{"formula": "LiV3Pb2O8", "functional": "GGA+U", "state": "optimized geometry", "cell": [[3.031, 1.750, 6.342], [-3.031, 1.750, 6.342], [0.000, -3.500, 6.342]], "species": ["Li", "V", "V", "V", "Pb", "Pb", "O", "O", "O", "O", "O", "O", "O", "O"], "frac_coords": [[0.000, 0.000, 0.000], [0.054, 0.556, 0.556], [0.556, 0.054, 0.556], [0.556, 0.556, 0.054], [0.177, 0.177, 0.177], [0.573, 0.573, 0.573], [0.286, 0.286, 0.757], [0.286, 0.757, 0.286], [0.337, 0.337, 0.337], [0.360, 0.814, 0.814], [0.757, 0.286, 0.286], [0.775, 0.775, 0.775], [0.814, 0.360, 0.814], [0.814, 0.814, 0.360]], "n_ef_per_ev_cell": 4.93, "spacegroup": "R3m", "energy_ev_per_atom": -6.825}